1.
LaThCd2 GGA-PBE optimized geometry; SG = Fm-3m, No. 225; ΔE_f = -0.161 eV per atom; energy above the most stable polymorph in this dataset = 26.7 meV/atom; magnetization = 0.0 μB/f.u.; D(E_F) = 6.2 states/eV/f.u.
1.0
-5.452 0.625 0.144
-2.989 -0.932 -4.510
-3.275 -4.398 -0.262
La Th Cd
1 1 2
Direct
0.500 0.500 0.500 La
0.000 0.000 0.000 Th
0.250 0.250 0.250 Cd
0.750 0.750 0.750 Cd

***

2.
LaThCd GGA-PBE optimized geometry; SG = I4mm, No. 107; ΔE_f = -0.083 eV per atom; energy above the most stable polymorph in this dataset = 57.5 meV/atom; magnetization = 0.0 μB/f.u.; D(E_F) = 3.1 states/eV/f.u.
1.0
-2.643 0.922 2.489
-2.203 -2.721 -1.332
5.091 -3.432 3.858
Cd La Th
1 1 1
Direct
0.669 0.669 0.337 Cd
0.010 0.010 0.019 La
0.322 0.322 0.643 Th

***

3.
La2ThCd GGA-PBE optimized geometry; SG = P4/mmm, No. 123; ΔE_f = -0.171 eV per atom; energy above the most stable polymorph in this dataset = 0.0 meV/atom; magnetization = 0.0 μB/f.u.; D(E_F) = 3.2 states/eV/f.u.
1.0
-2.182 1.581 2.504
2.341 -0.985 2.662
4.642 8.117 -1.079
Th La Cd
1 2 1
Direct
0.500 0.500 0.500 Th
0.000 0.000 0.239 La
0.000 0.000 0.761 La
0.500 0.500 0.000 Cd